(1)
A relaxed CsBaN3 crystal, computed with PBE.

Results
Calculated total energy   -18.7 eV per formula unit

Cell lengths 4.482, 4.482, 4.482 Å; angles 90.00, 90.00, 90.00 degrees
Fractional coordinates of all 5 atoms:
1 N 0.500 0.000 0.000
2 N 0.000 0.000 0.500
3 N 0.000 0.500 0.000
4 Cs 0.000 0.000 0.000
5 Ba 0.500 0.500 0.500

***

(2)
A relaxed Li4Tl2In crystal, computed with PBE.

Results
Energy above the most stable polymorph in this dataset   195.5 meV/atom
ΔE_f   0.011 eV per atom
Calculated total energy   -15.0 eV per formula unit

Cell lengths 5.001, 5.001, 8.075 Å; angles 108.04, 108.04, 90.00 degrees
Fractional coordinates of all 7 atoms:
1 Tl 0.615 0.615 0.230
2 Li 0.809 0.809 0.617
3 Li 0.000 0.500 0.000
4 Li 0.500 0.000 0.000
5 In 0.000 0.000 0.000
6 Tl 0.385 0.385 0.770
7 Li 0.191 0.191 0.383

***

(3)
A relaxed Ce6ZnPt3 crystal, computed with PBE.

Results
ΔE_f   -0.555 eV per atom
Calculated total energy   -60.6 eV per formula unit

Cell lengths 8.088, 8.088, 8.088 Å; angles 81.42, 81.42, 81.42 degrees
Site moments in Bohr magnetons follow the coordinates.
Fractional coordinates of all 20 atoms:
1 Pt 0.008 0.177 0.675  -0.02
2 Pt 0.177 0.675 0.008  -0.02
3 Ce 0.347 0.896 0.187  0.73
4 Ce 0.653 0.104 0.813  0.73
5 Ce 0.512 0.647 0.824  0.59
6 Ce 0.488 0.353 0.176  0.59
7 Ce 0.187 0.347 0.896  0.73
8 Ce 0.813 0.653 0.104  0.73
9 Zn 0.000 0.000 0.000  0.00
10 Pt 0.325 0.992 0.823  -0.02
11 Ce 0.104 0.813 0.653  0.73
12 Pt 0.992 0.823 0.325  -0.02
13 Ce 0.824 0.512 0.647  0.59
14 Pt 0.823 0.325 0.992  -0.02
15 Ce 0.896 0.187 0.347  0.73
16 Ce 0.647 0.824 0.512  0.59
17 Zn 0.500 0.500 0.500  -0.01
18 Ce 0.353 0.176 0.488  0.59
19 Ce 0.176 0.488 0.353  0.59
20 Pt 0.675 0.008 0.177  -0.02

***

Question: What is the calculated total energy in the second record?
Answer: -15.0 eV per formula unit